(1)
VASP calculation (PBE) on Zr2TiSn2 after structural relaxation.

It has space group Cmcm (No. 63), with a = 4.8035 Å, b = 15.7051 Å, c = 5.8404 Å, α = 90.00°, β = 90.00° and γ = 90.00°. The distinct sites, in fractional coordinates, are Zr at (0.0000, 0.0000, 0.0000), Zr at (0.0000, 0.1952, 0.2500), Ti at (0.0000, 0.3982, 0.2500), Sn at (0.0000, 0.1842, 0.7500) and Sn at (0.0000, 0.4199, 0.7500).

The value obtained for the relative energy among the computed polymorphs is 0.008 eV/atom. As for the crystal system: orthorhombic. The value obtained for the formation energy is -400 meV per atom.

=====

(2)
VASP calculation (PBE) on Zr2Ti3Sn3 after structural relaxation.

It has space group P6_3/mcm (No. 193), with a = 8.3032 Å, b = 8.3032 Å, c = 5.7244 Å, α = 90.00°, β = 90.00° and γ = 120.00°. The distinct sites, in fractional coordinates, are Zr at (0.3333, 0.6667, 0.0000), Ti at (0.0000, 0.2637, 0.2500) and Sn at (0.0000, 0.3755, 0.7500).

As for the crystal system: hexagonal. The value obtained for the formation energy is -328 meV per atom.

=====

(3)
VASP calculation (PBE) on ZrTi4Sn3 after structural relaxation.

It has space group Immm (No. 71), with a = 3.0659 Å, b = 7.5979 Å, c = 14.1150 Å, α = 90.00°, β = 90.00° and γ = 90.00°. The distinct sites, in fractional coordinates, are Zr at (0.0000, 0.0000, 0.0000), Ti at (0.0000, 0.3084, 0.1402), Sn at (0.0000, 0.0000, 0.5000) and Sn at (0.0000, 0.5000, 0.3109).

As for the crystal system: orthorhombic. The value obtained for the formation energy is -77 meV per atom.

=====

(4)
VASP calculation (PBE) on Zr3Ti4Sn2 after structural relaxation.

It has space group P-3m1 (No. 164), with a = 4.7870 Å, b = 4.7870 Å, c = 8.9078 Å, α = 90.00°, β = 90.00° and γ = 120.00°. The distinct sites, in fractional coordinates, are Zr at (0.0000, 0.0000, 0.0000), Zr at (0.3333, 0.6667, 0.5644), Ti at (0.0000, 0.0000, 0.3383), Ti at (0.3333, 0.6667, 0.8963) and Sn at (0.3333, 0.6667, 0.2172).

As for the crystal system: trigonal. The value obtained for the formation energy is -166 meV per atom.

=====

(5)
VASP calculation (PBE) on Zr2Ti5Sn3 after structural relaxation.

It has space group Ibam (No. 72), with a = 10.7553 Å, b = 13.9751 Å, c = 5.6185 Å, α = 90.00°, β = 90.00° and γ = 90.00°. The distinct sites, in fractional coordinates, are Zr at (0.1296, 0.2118, 0.0000), Ti at (0.0000, 0.0000, 0.2500), Ti at (0.0877, 0.3399, 0.5000), Ti at (0.2473, 0.5000, 0.2500), Sn at (0.0000, 0.5000, 0.2500) and Sn at (0.1440, 0.1493, 0.5000).

As for the crystal system: orthorhombic. The value obtained for the formation energy is -21 meV per atom.

=====

(6)
VASP calculation (PBE) on Zr2TiSn after structural relaxation.

It has space group R3m (No. 160, hexagonal axes), with a = 3.2245 Å, b = 3.2245 Å, c = 29.2718 Å, α = 90.00°, β = 90.00° and γ = 120.00°. The distinct sites, in fractional coordinates, are Zr at (0.0000, 0.0000, 0.0000), Zr at (0.0000, 0.0000, 0.1602), Ti at (0.0000, 0.0000, 0.4132) and Sn at (0.0000, 0.0000, 0.5800).

As for the crystal system: trigonal. The value obtained for the formation energy is -103 meV per atom.

=====

(7)
VASP calculation (PBE) on Zr3Ti2Sn3 after structural relaxation.

It has space group Cmcm (No. 63), with a = 3.8221 Å, b = 12.7807 Å, c = 14.5221 Å, α = 90.00°, β = 90.00° and γ = 90.00°. The distinct sites, in fractional coordinates, are Zr at (0.0000, 0.0696, 0.1127), Zr at (0.0000, 0.3452, 0.2500), Ti at (0.0000, 0.2426, 0.5803), Sn at (0.0000, 0.3461, 0.7500) and Sn at (0.0000, 0.4045, 0.0516).

As for the crystal system: orthorhombic. The value obtained for the formation energy is -316 meV per atom.

=====

(8)
VASP calculation (PBE) on Zr2TiSn after structural relaxation.

It has space group P4/mmm (No. 123), with a = 3.6922 Å, b = 3.6922 Å, c = 6.2443 Å, α = 90.00°, β = 90.00° and γ = 90.00°. The distinct sites, in fractional coordinates, are Zr at (0.0000, 0.0000, 0.2452), Ti at (0.5000, 0.5000, 0.0000) and Sn at (0.5000, 0.5000, 0.5000).

As for the crystal system: tetragonal. The value obtained for the formation energy is -277 meV per atom.

=====

(9)
VASP calculation (PBE) on Zr2TiSn2 after structural relaxation.

It has space group P4/mbm (No. 127), with a = 7.4307 Å, b = 7.4307 Å, c = 3.9928 Å, α = 90.00°, β = 90.00° and γ = 90.00°. The distinct sites, in fractional coordinates, are Zr at (0.1657, 0.3343, 0.0000), Ti at (0.0000, 0.0000, 0.5000) and Sn at (0.1388, 0.6388, 0.5000).

The value obtained for the relative energy among the computed polymorphs is 0.000 eV/atom. As for the crystal system: tetragonal. The value obtained for the formation energy is -407 meV per atom.

=====

(10)
VASP calculation (PBE) on ZrTiSn2 after structural relaxation.

It has space group P4/mmm (No. 123), with a = 3.1791 Å, b = 3.1791 Å, c = 8.3408 Å, α = 90.00°, β = 90.00° and γ = 90.00°. The distinct sites, in fractional coordinates, are Zr at (0.0000, 0.0000, 0.0000), Ti at (0.0000, 0.0000, 0.5000) and Sn at (0.5000, 0.5000, 0.2629).

The value obtained for the relative energy among the computed polymorphs is 0.000 eV/atom. As for the crystal system: tetragonal. The value obtained for the formation energy is -292 meV per atom.

=====

(11)
VASP calculation (PBE) on ZrTi4Sn after structural relaxation.

It has space group F-43m (No. 216), with a = 7.6952 Å, b = 7.6952 Å, c = 7.6952 Å, α = 90.00°, β = 90.00° and γ = 90.00°. The distinct sites, in fractional coordinates, are Zr at (0.0000, 0.0000, 0.0000), Ti at (0.1278, 0.1278, 0.6278) and Sn at (0.2500, 0.2500, 0.2500).

As for the crystal system: cubic. The value obtained for the formation energy is -11 meV per atom.

=====

(12)
VASP calculation (PBE) on ZrTiSn2 after structural relaxation.

It has space group P4/mmm (No. 123), with a = 4.4607 Å, b = 4.4607 Å, c = 4.2410 Å, α = 90.00°, β = 90.00° and γ = 90.00°. The distinct sites, in fractional coordinates, are Zr at (0.0000, 0.0000, 0.0000), Ti at (0.5000, 0.5000, 0.0000) and Sn at (0.0000, 0.5000, 0.5000).

The value obtained for the relative energy among the computed polymorphs is 0.001 eV/atom. As for the crystal system: tetragonal. The value obtained for the formation energy is -290 meV per atom.

=====

(13)
VASP calculation (PBE) on Zr6TiSn after structural relaxation.

It has space group C2/m (No. 12), with a = 8.1812 Å, b = 6.1727 Å, c = 8.0333 Å, α = 90.00°, β = 105.82° and γ = 90.00°. The distinct sites, in fractional coordinates, are Zr at (0.1376, 0.0000, 0.4364), Zr at (0.1953, 0.2464, 0.7966), Ti at (0.0000, 0.5000, 0.5000) and Sn at (0.0000, 0.0000, 0.0000).

As for the crystal system: monoclinic. The value obtained for the formation energy is 158 meV per atom.

=====

(14)
VASP calculation (PBE) on Zr3Ti2Sn4 after structural relaxation.

It has space group C2/m (No. 12), with a = 12.7802 Å, b = 4.1223 Å, c = 8.8202 Å, α = 90.00°, β = 120.12° and γ = 90.00°. The distinct sites, in fractional coordinates, are Zr at (0.0000, 0.0000, 0.0000), Zr at (0.1423, 0.5000, 0.6804), Ti at (0.1911, 0.5000, 0.3671), Sn at (0.0499, 0.0000, 0.3765) and Sn at (0.1833, 0.5000, 0.0507).

As for the crystal system: monoclinic. The value obtained for the formation energy is -332 meV per atom.

=====

(15)
VASP calculation (PBE) on ZrTiSn2 after structural relaxation.

It has space group I-42d (No. 122), with a = 7.7275 Å, b = 7.7275 Å, c = 6.1298 Å, α = 90.00°, β = 90.00° and γ = 90.00°. The distinct sites, in fractional coordinates, are Zr at (0.0000, 0.0000, 0.0000), Ti at (0.0000, 0.0000, 0.5000) and Sn at (0.2356, 0.2500, 0.6250).

The value obtained for the relative energy among the computed polymorphs is 0.180 eV/atom. As for the crystal system: tetragonal. The value obtained for the formation energy is -112 meV per atom.

=====

(16)
VASP calculation (PBE) on ZrTi4Sn4 after structural relaxation.

It has space group P4_2/n (No. 86, origin choice 2), with a = 8.6153 Å, b = 8.6153 Å, c = 5.5957 Å, α = 90.00°, β = 90.00° and γ = 90.00°. The distinct sites, in fractional coordinates, are Zr at (0.2500, 0.2500, 0.2500), Ti at (0.0441, 0.8613, 0.1171) and Sn at (0.0555, 0.8585, 0.6262).

As for the crystal system: tetragonal. The value obtained for the formation energy is 140 meV per atom.

=====

(17)
VASP calculation (PBE) on Zr2TiSn after structural relaxation.

It has space group P-1 (No. 2), with a = 3.1444 Å, b = 5.3368 Å, c = 10.4221 Å, α = 96.43°, β = 98.60° and γ = 90.28°. The distinct sites, in fractional coordinates, are Zr at (0.0559, 0.3038, 0.1166), Zr at (0.1939, 0.0634, 0.3792), Ti at (0.3016, 0.4579, 0.6115) and Sn at (0.4274, 0.2018, 0.8558).

As for the crystal system: triclinic. The value obtained for the formation energy is -220 meV per atom.

=====

(18)
VASP calculation (PBE) on ZrTi12Sn3 after structural relaxation.

It has space group Pmmm (No. 47), with a = 5.2521 Å, b = 5.2541 Å, c = 10.4974 Å, α = 90.00°, β = 90.00° and γ = 90.00°. The distinct sites, in fractional coordinates, are Zr at (0.0000, 0.0000, 0.0000), Ti at (0.0000, 0.2504, 0.2486), Ti at (0.2483, 0.5000, 0.0000), Ti at (0.2485, 0.5000, 0.5000), Ti at (0.5000, 0.0000, 0.1306), Ti at (0.5000, 0.0000, 0.3812), Sn at (0.0000, 0.0000, 0.5000) and Sn at (0.5000, 0.5000, 0.2527).

As for the crystal system: orthorhombic. The value obtained for the formation energy is -182 meV per atom.

=====

(19)
VASP calculation (PBE) on ZrTiSn2 after structural relaxation.

It has space group Fm-3m (No. 225), with a = 6.9956 Å, b = 6.9956 Å, c = 6.9956 Å, α = 90.00°, β = 90.00° and γ = 90.00°. The distinct sites, in fractional coordinates, are Zr at (0.0000, 0.0000, 0.0000), Ti at (0.0000, 0.0000, 0.5000) and Sn at (0.2500, 0.2500, 0.2500).

The value obtained for the relative energy among the computed polymorphs is 0.152 eV/atom. As for the crystal system: cubic. The value obtained for the formation energy is -140 meV per atom.

=====

(20)
VASP calculation (PBE) on Zr5Ti2Sn after structural relaxation.

It has space group Immm (No. 71), with a = 3.0574 Å, b = 9.6405 Å, c = 11.7386 Å, α = 90.00°, β = 90.00° and γ = 90.00°. The distinct sites, in fractional coordinates, are Zr at (0.0000, 0.0000, 0.0000), Zr at (0.0000, 0.2605, 0.3693), Ti at (0.0000, 0.0000, 0.2515) and Sn at (0.0000, 0.5000, 0.0000).

As for the crystal system: orthorhombic. The value obtained for the formation energy is -26 meV per atom.